No. 1
This record from the Alexandria database describes an optimized crystal structure of Y2IrSe. The functional is PBE.

The structure in POSCAR format:
```
Y2IrSe
1.0
4.320 0.000 0.000
0.000 3.853 0.000
0.000 0.000 10.776
Y Ir Se
4 2 2
Cartesian
0.000 0.000 0.000
0.000 1.926 5.388
2.160 0.000 2.989
2.160 1.926 8.377
0.000 0.000 7.975
0.000 1.926 2.587
2.160 0.000 5.944
2.160 1.926 0.556
```

Results
- Fermi-level density of states: 4.13 states/eV per cell
- Calculated density: 8.315 g/cm3
- Total magnetic moment: 0.00 μB per cell

***

No. 2
This record from the Alexandria database describes an optimized crystal structure of CaSm2Y3Se6. The functional is PBE.

The structure in POSCAR format:
```
CaSm2Y3Se6
1.0
9.015 -2.057 0.000
9.015 2.057 0.000
-1.934 0.000 8.081
Ca Sm Y Se
1 2 3 6
Cartesian
0.000 0.000 0.000
4.654 0.000 5.318
11.441 0.000 2.763
-0.967 0.000 4.040
5.639 0.000 1.384
10.456 0.000 6.697
1.792 0.000 4.746
2.844 0.000 0.624
8.516 0.000 2.027
7.580 0.000 6.053
13.252 0.000 7.457
14.304 0.000 3.334
```

Results
- Fermi-level density of states: 5.28 states/eV per cell
- Calculated density: 5.992 g/cm3
- Total magnetic moment: 0.00 μB per cell

***

no.,E_form (uncorrected) (meV per atom)
1,-1147.8
2,-1827.7